1.
The following is a GGA-PBE calculation of a geometry-optimized Pr2Sm6Ru structure, from the Alexandria database.

Structure (extended XYZ):
```
9
Lattice="4.701 -8.819 0.000 4.701 8.819 0.000 0.000 0.000 3.618" Properties=species:S:1:pos:R:3 pbc="T T T"
Pr 4.701 5.839 0.000
Pr 4.701 -5.839 0.000
Sm 3.148 2.932 1.809
Sm 2.575 0.000 0.000
Sm 6.254 2.932 1.809
Sm 3.148 -2.932 1.809
Sm 6.827 0.000 0.000
Sm 6.254 -2.932 1.809
Ru 4.701 0.000 1.809
```

Computed properties:
For the density, the calculation gives 7.1 g/cm³. Its calculated volume is 300 Å³ per cell. Its density of states at the Fermi level is 1.38 states/eV/atom. The calculation puts the formation energy at 1.2 eV/f.u.

2.
The following is a GGA-PBE calculation of a geometry-optimized BP3RhC structure, from the Alexandria database.

Structure (extended XYZ):
```
6
Lattice="3.115 0.000 0.000 0.036 5.016 0.000 0.230 1.659 4.900" Properties=species:S:1:pos:R:3 pbc="T T T"
B 0.000 0.000 0.000
P 0.167 4.998 2.929
P 1.683 2.925 1.324
P 2.709 3.405 4.454
Rh 1.709 1.634 3.310
C 0.099 4.087 1.289
```

Computed properties:
For the density, the calculation gives 4.7 g/cm³. As for the relative energy among the computed polymorphs: 54 kJ/mol of formula units. Its calculated volume is 77 Å³ per cell. Its density of states at the Fermi level is 0.13 states/eV/atom. The calculation puts the formation energy at 0.7 eV/f.u.

3.
The following is a GGA-PBE calculation of a geometry-optimized BAs structure, from the Alexandria database.

Structure (extended XYZ):
```
2
Lattice="0.000 2.309 2.309 2.309 0.000 2.309 2.309 2.309 0.000" Properties=species:S:1:pos:R:3 pbc="T T T"
B 0.000 0.000 0.000
As 2.309 2.309 2.309
```

Computed properties:
For the density, the calculation gives 5.8 g/cm³. Its calculated volume is 25 Å³ per cell. Its density of states at the Fermi level is 0.33 states/eV/atom. The calculation puts the formation energy at 1.7 eV/f.u.

4.
The following is a GGA-PBE calculation of a geometry-optimized Sr2DyAgO4 structure, from the Alexandria database.

Structure (extended XYZ):
```
8
Lattice="6.121 0.000 0.000 0.000 3.570 0.000 -2.081 0.000 5.831" Properties=species:S:1:pos:R:3 pbc="T T T"
Sr 0.000 0.000 0.000
Sr -1.040 1.785 2.915
Dy 2.020 0.000 2.915
Ag 3.060 1.785 0.000
O 0.076 0.000 4.198
O 1.049 1.785 1.644
O 2.992 1.785 4.186
O 3.964 0.000 1.633
```

Computed properties:
The value obtained for the formation energy (no corrections) is -229 kJ/mol of atoms. For the density, the calculation gives 6.6 g/cm³. Its calculated volume is 127 Å³ per cell. Its density of states at the Fermi level is 0.00 states/eV/atom.

5.
The following is a GGA-PBE calculation of a geometry-optimized TiZn2Ir structure, from the Alexandria database.

Structure (extended XYZ):
```
4
Lattice="0.000 3.062 3.062 3.062 0.000 3.062 3.062 3.062 0.000" Properties=species:S:1:pos:R:3 pbc="T T T"
Ti 0.000 0.000 0.000
Zn 1.531 1.531 1.531
Zn 4.593 4.593 4.593
Ir 3.062 3.062 3.062
```

Computed properties:
For the density, the calculation gives 10.7 g/cm³. Its calculated volume is 57 Å³ per cell. Its density of states at the Fermi level is 0.43 states/eV/atom. The calculation puts the formation energy at -1.4 eV/f.u.

6.
The following is a GGA-PBE calculation of a geometry-optimized CsKTlI3 structure, from the Alexandria database.

Structure (extended XYZ):
```
12
Lattice="10.132 0.000 0.000 0.000 5.293 0.000 -3.699 0.000 12.036" Properties=species:S:1:pos:R:3 pbc="T T T"
Cs 1.187 1.323 2.706
Cs 5.246 3.970 9.330
K -0.515 1.323 7.562
K 6.948 3.970 4.474
Tl 0.041 3.970 10.932
Tl 6.392 1.323 1.104
I -2.174 1.323 10.744
I 0.210 3.970 5.507
I 4.105 3.970 2.183
I 2.328 1.323 9.853
I 6.223 1.323 6.529
I 8.607 3.970 1.291
```

Computed properties:
The value obtained for the formation energy (no corrections) is -115 kJ/mol of atoms. For the density, the calculation gives 3.9 g/cm³. Its calculated volume is 645 Å³ per cell. Its density of states at the Fermi level is 0.00 states/eV/atom.

7.
The following is a GGA-PBE calculation of a geometry-optimized UInOs structure, from the Alexandria database.

Structure (extended XYZ):
```
3
Lattice="-1.586 1.586 6.100 1.586 -1.586 6.100 1.586 1.586 -6.100" Properties=species:S:1:pos:R:3 pbc="T T T"
U 0.000 0.000 0.000
In 0.000 0.000 8.629
Os 0.000 0.000 4.417
```

Computed properties:
For the density, the calculation gives 14.7 g/cm³. Its calculated volume is 61 Å³ per cell. Its density of states at the Fermi level is 1.31 states/eV/atom. The calculation puts the formation energy at 0.2 eV/f.u.

8.
The following is a GGA-PBE calculation of a geometry-optimized Al3ClF structure, from the Alexandria database.

Structure (extended XYZ):
```
5
Lattice="5.406 0.000 0.000 0.000 5.406 0.000 0.000 0.000 5.406" Properties=species:S:1:pos:R:3 pbc="T T T"
Al 0.000 0.000 2.703
Al 0.000 2.703 0.000
Al 2.703 0.000 0.000
Cl 0.000 0.000 0.000
F 2.703 2.703 2.703
```

Computed properties:
The value obtained for the formation energy (no corrections) is 34 kJ/mol of atoms. For the density, the calculation gives 1.4 g/cm³. As for the relative energy among the computed polymorphs: 251 kJ/mol of formula units. Its calculated volume is 158 Å³ per cell. Its density of states at the Fermi level is 0.41 states/eV/atom.

| no. | total magnetic moment (μB per formula unit) |
| --- | --- |
| 1 | 0.00 |
| 2 | 0.00 |
| 3 | 0.00 |
| 4 | 0.00 |
| 5 | 0.00 |
| 6 | 0.00 |
| 7 | 1.36 |
| 8 | 0.00 |